# RbFeAgF6

RbFeAgF6 after structural relaxation (GGA+U, Alexandria via LeMat-Bulk).

Cell lengths 5.8881, 9.7195, 5.8577 Å; angles 90.00, 91.40, 90.00 degrees
Last column: nearest neighbours and their distance in Å.
Space group C2 (No. 5)
Inequivalent atoms, fractional coordinates:
Rb: 0.0000 0.0000 0.0000  6 F 2.80-2.85
Fe: 0.0000 0.3357 0.5000  6 F 1.90-2.02
Ag: 0.0000 0.6713 0.5000  4 F 2.16-2.18
F: 0.1182 0.4938 0.6911  1 Fe 2.02, 1 Ag 2.16
F: 0.1398 0.2102 0.7096  1 Fe 1.90
F: 0.2084 0.8283 0.6705  1 Fe 2.01, 1 Ag 2.18

Computed properties:
**Total DFT energy (no corrections)**: -4.42 eV/atom